Record 1
9
Lattice="-2.906 0.982 -3.890 -2.158 -3.885 3.785 -2.367 8.984 4.037" Properties=species:S:1:pos:R:3 comment="In6SnPb2, optimized geometry, DFT GGA-PBE" dft_energy_ry_per_atom=-0.2256 relative_energy_mev_per_atom=0.0 m_tot_mub_per_fu=0.00 pbc="T T T"
In -5.445 -1.415 0.556
In -2.766 -0.111 -1.116
In -3.851 3.216 3.689
In -3.580 2.865 0.243
In -1.985 7.497 3.376
Pb -3.048 0.221 2.333
Pb -4.382 5.860 1.599
Sn -1.183 4.492 2.019
In -4.664 6.192 5.048



Record 2
29
Lattice="2.968 9.876 -3.290 -3.563 8.759 5.269 6.844 5.870 5.989" Properties=species:S:1:pos:R:3 comment="In16Sn6Pb7, optimized geometry, DFT GGA-PBE" dft_energy_ry_per_atom=-0.2300 m_tot_mub_per_fu=0.00 pbc="T T T"
Pb 4.906 7.873 1.349
Pb -1.782 4.379 2.635
In -0.091 13.904 6.041
In 0.764 2.997 0.975
In 4.260 5.996 4.034
Sn 3.172 12.964 6.163
In 5.485 21.508 6.994
Sn 2.011 14.164 3.384
Pb 1.641 7.315 5.629
Pb 3.422 2.935 2.995
In 2.243 9.900 7.299
Sn 3.078 11.541 1.805
In 2.145 8.409 2.734
In 4.007 14.606 0.670
In 3.969 16.464 8.674
In 7.305 17.034 4.302
In 4.105 16.097 5.234
Sn 1.122 11.206 4.369
Pb -0.297 9.317 0.990
Pb 0.000 0.000 0.000
Pb 1.484 4.938 -1.645
In 6.341 10.601 1.928
Sn 4.239 10.341 4.585
In -1.056 7.471 3.666
In 6.439 12.092 6.492
In 2.281 8.042 -0.706
Sn 5.128 13.299 3.599
In 1.989 18.510 3.935
In -0.189 12.413 1.476



Record 3
12
Lattice="-2.041 0.991 -2.710 -6.180 -6.990 2.097 -5.252 6.557 6.351" Properties=species:S:1:pos:R:3 comment="In2SnPb3, optimized geometry, DFT GGA-PBE" dft_energy_ry_per_atom=-0.2513 relative_energy_mev_per_atom=0.0 m_tot_mub_per_fu=0.00 pbc="T T T"
Sn -9.848 -0.971 5.907
In -6.464 -5.382 1.747
In -8.465 0.218 2.996
In -5.007 0.340 2.742
Sn -3.624 1.529 -0.169
In -7.009 5.940 3.991
Pb -6.802 2.524 4.891
Pb -8.090 -3.115 3.800
Pb -3.167 -1.729 0.600
Pb -6.671 -1.966 0.847
Pb -5.382 3.673 1.938
Pb -10.306 2.287 5.138



Record 4
6
Lattice="3.931 0.000 0.000 0.000 3.931 0.000 0.000 0.000 11.165" Properties=species:S:1:pos:R:3 comment="InSnPb, optimized geometry, DFT GGA-PBE" dft_energy_ry_per_atom=-0.2528 relative_energy_mev_per_atom=25.8 m_tot_mub_per_fu=0.00 pbc="T T T"
In 0.000 1.965 6.466
In 1.965 0.000 4.699
Pb 0.000 1.965 10.124
Sn 1.965 0.000 8.199
Pb 1.965 0.000 1.041
Sn 0.000 1.965 2.966



Record 5
11
Lattice="6.301 -0.272 -0.532 -2.929 5.586 -0.532 0.274 0.432 9.109" Properties=species:S:1:pos:R:3 comment="In7Sn2Pb2, optimized geometry, DFT GGA-PBE" dft_energy_ry_per_atom=-0.2279 m_tot_mub_per_fu=0.00 pbc="T T T"
In 0.319 5.500 0.774
In -1.194 3.116 7.271
Pb 0.315 3.831 4.022
In 0.000 0.000 0.000
Pb 3.332 1.916 4.022
Sn 1.745 2.750 1.047
Sn 1.902 2.996 6.998
In 3.328 0.247 7.271
In 0.171 0.270 3.065
In 3.476 5.476 4.980
In 4.841 2.630 0.774



Record 6
17
Lattice="6.575 0.000 0.000 0.000 8.264 -4.771 0.000 0.000 9.543" Properties=species:S:1:pos:R:3 comment="In6SnPb10, optimized geometry, DFT GGA-PBE" dft_energy_ry_per_atom=-0.2435 m_tot_mub_per_fu=0.00 pbc="T T T"
Pb 1.299 0.000 6.831
Sn 3.287 0.000 0.000
Pb 0.000 5.510 0.000
Pb 5.276 2.348 -1.356
Pb 0.000 2.755 4.771
In 1.940 5.183 2.993
Pb 3.287 5.510 0.000
Pb 5.276 0.000 2.711
Pb 3.287 2.755 4.771
In 4.635 0.000 5.985
Pb 5.276 5.916 3.416
In 1.940 0.000 3.557
In 4.635 5.183 -2.993
Pb 1.299 5.916 -3.416
In 1.940 3.081 -1.779
Pb 1.299 2.348 1.356
In 4.635 3.081 1.779



Record 7
12
Lattice="-2.044 5.483 -1.125 -3.302 -0.071 -10.125 -6.808 0.961 1.273" Properties=species:S:1:pos:R:3 comment="InSn4Pb7, optimized geometry, DFT GGA-PBE" dft_energy_ry_per_atom=-0.2659 relative_energy_mev_per_atom=58.3 m_tot_mub_per_fu=0.00 pbc="T T T"
Sn -9.759 4.712 -6.640
In 0.000 0.000 0.000
Pb -7.984 4.784 -9.517
Pb -4.174 0.480 -5.855
Sn -5.897 2.689 -7.738
Pb -4.171 1.588 -0.460
Pb -4.347 3.871 -4.798
Pb -7.808 2.502 -5.179
Pb -7.981 5.892 -4.122
Sn -2.395 1.660 -3.337
Sn -6.258 3.683 -2.239
Pb -1.022 2.741 -0.562



Record 8
16
Lattice="-5.335 2.827 -2.780 1.776 -5.814 -2.687 -6.485 -5.260 7.095" Properties=species:S:1:pos:R:3 comment="In14SnPb, optimized geometry, DFT GGA-PBE" dft_energy_ry_per_atom=-0.2102 m_tot_mub_per_fu=0.00 pbc="T T T"
Pb -1.923 -7.890 0.854
In -3.161 0.185 -2.752
In -3.439 -0.989 0.330
In -6.081 0.519 -1.034
In -5.147 -2.422 -2.294
In -2.493 -3.968 -0.918
In -2.188 -2.745 -4.035
In -2.753 -4.984 2.250
In -5.680 -6.553 2.570
In -8.408 -5.067 1.274
In -4.600 -6.535 -0.588
In 0.484 -4.244 -2.704
In -9.393 -2.168 2.590
In -6.701 -3.634 3.898
Sn -5.414 -3.648 0.809
In -0.487 -1.317 -1.421